The following is a GGA-PBE calculation of a relaxed structure of Ga6Te, from the Alexandria database.

POSCAR file:
```
Ga6Te
1.0
-3.585 3.585 3.585
3.585 -3.585 3.585
3.585 3.585 -3.585
Ga Te
6 1
Direct
0.250 0.500 0.750
0.250 0.750 0.500
0.500 0.250 0.750
0.500 0.750 0.250
0.750 0.250 0.500
0.750 0.500 0.250
0.000 0.000 0.000
```

Output
DOS(E_F) = 6.840 states/eV per cell
Total energy = -18.84 eV for the cell shown
Uncorrected formation energy = 0.35 eV per atom
SG = No. 229
Crystal system = cubic

---

The following is a GGA-PBE calculation of a relaxed structure of Ga4Te, from the Alexandria database.

POSCAR file:
```
Ga4Te
1.0
5.549 0.000 0.000
0.000 5.549 0.000
0.000 0.000 5.549
Ga Te
4 1
Direct
0.000 0.000 0.000
0.000 0.500 0.500
0.500 0.000 0.500
0.500 0.500 0.000
0.500 0.500 0.500
```

Output
DOS(E_F) = 3.429 states/eV per cell
Total energy = -12.08 eV for the cell shown
Uncorrected formation energy = 0.63 eV per atom
SG = No. 221
Crystal system = cubic

---

Which of these has the lowest uncorrected formation energy?
Ga6Te